# 1
Computed, not measured: an optimized crystal structure of Pr5Al3 at the PBE level of DFT.

Energy relative to the elements: -2.02 eV per formula unit
DOS(E_F): 1.1608 states/eV/atom
Final energy: -4.643 eV per atom

Cell: 5.9556 9.3472 9.3472 Å, 84.17 71.42 71.42°
With the nearest neighbours (Å) after each atom.
Sites, in units of the cell vectors:
Pr: 0.7500 0.5000 0.5000  2 Pr 2.98, 4 Al 3.21
Pr: 0.2197 0.6950 0.8657  6 Al 3.27-3.46, 1 Pr 3.45
Pr: 0.4146 0.3050 0.8657  6 Al 3.27-3.46, 1 Pr 3.45
Pr: 0.2803 0.1343 0.3050  6 Al 3.27-3.46, 1 Pr 3.45
Pr: 0.5854 0.6950 0.1343  6 Al 3.27-3.46, 1 Pr 3.45
Al: 0.3394 0.8213 0.5000  10 Pr 3.21-3.46
Pr: 0.9146 0.8657 0.3050  6 Al 3.27-3.46, 1 Pr 3.45
Al: 0.6606 0.1787 0.5000  10 Pr 3.21-3.46
Al: 0.8394 0.5000 0.8213  10 Pr 3.21-3.46
Al: 0.7500 0.0000 0.0000  2 Al 2.98, 8 Pr 3.31
Pr: 0.7803 0.3050 0.1343  6 Al 3.27-3.46, 1 Pr 3.45
Pr: 0.7197 0.8657 0.6950  6 Al 3.27-3.46, 1 Pr 3.45
Pr: 0.0854 0.1343 0.6950  6 Al 3.27-3.46, 1 Pr 3.45
Al: 0.2500 0.0000 0.0000  2 Al 2.98, 8 Pr 3.31
Al: 0.1606 0.5000 0.1787  10 Pr 3.21-3.46
Pr: 0.2500 0.5000 0.5000  2 Pr 2.98, 4 Al 3.21

=====

# 2
Computed, not measured: an optimized crystal structure of SmMgGaPt2 at the PBE level of DFT.

Energy relative to the elements: -4.68 eV per formula unit
DOS(E_F): 0.5250 states/eV/atom
Final energy: -5.220 eV per atom

Cell: 4.0143 4.0143 6.7865 Å, 107.20 107.20 90.00°
With the nearest neighbours (Å) after each atom.
Sites, in units of the cell vectors:
Mg: 0.2500 0.7500 0.5000  4 Pt 2.65, 4 Ga 2.84
Pt: 0.3898 0.3898 0.7796  2 Ga 2.65, 2 Mg 2.65, 1 Pt 2.72
Ga: 0.7500 0.2500 0.5000  4 Pt 2.65, 4 Mg 2.84
Pt: 0.6102 0.6102 0.2204  2 Mg 2.65, 2 Ga 2.65, 1 Pt 2.72
Sm: 0.0000 0.0000 0.0000  8 Pt 3.15

=====

# 3
Computed, not measured: an optimized crystal structure of Ca2EuPb at the PBE level of DFT.

Energy relative to the elements: -0.91 eV per formula unit
DOS(E_F): 2.5016 states/eV/atom
Final energy: -4.724 eV per atom

Cell: 4.2763 4.2763 7.7556 Å, 90.00 90.00 90.00°
With the nearest neighbours (Å) after each atom.
Sites, in units of the cell vectors:
Pb: 0.5000 0.5000 0.0000  8 Ca 3.47, 2 Eu 3.88
Eu: 0.5000 0.5000 0.5000  8 Ca 3.73, 2 Pb 3.88
Ca: 0.0000 0.0000 0.2187  1 Ca 3.39, 4 Pb 3.47, 4 Eu 3.73
Ca: 0.0000 0.0000 0.7813  1 Ca 3.39, 4 Pb 3.47, 4 Eu 3.73

=====

# 4
Computed, not measured: an optimized crystal structure of TbSmCdIr at the PBE level of DFT.

Energy relative to the elements: -2.00 eV per formula unit
DOS(E_F): 0.6623 states/eV/atom
Final energy: -5.280 eV per atom

Cell: 5.1016 5.1016 5.1016 Å, 60.00 60.00 60.00°
With the nearest neighbours (Å) after each atom.
Sites, in units of the cell vectors:
Tb: 0.5000 0.5000 0.5000  4 Ir 3.12, 4 Cd 3.12
Sm: 0.0000 0.0000 0.0000  4 Cd 3.12, 4 Ir 3.12
Ir: 0.2500 0.2500 0.2500  4 Sm 3.12, 4 Tb 3.12
Cd: 0.7500 0.7500 0.7500  4 Tb 3.12, 4 Sm 3.12

=====

# 5
Computed, not measured: an optimized crystal structure of Sc2CdF at the PBE level of DFT.

DOS(E_F): 1.3316 states/eV/atom
Formation energy (no corrections): -15.59 kcal/mol of atoms
Final energy: -4.538 eV per atom

Cell: 4.8355 4.8355 4.8355 Å, 60.00 60.00 60.00°
With the nearest neighbours (Å) after each atom.
Sites, in units of the cell vectors:
Cd: 0.5000 0.5000 0.5000  8 Sc 2.96
F: 0.0000 0.0000 0.0000  8 Sc 2.96
Sc: 0.7500 0.7500 0.7500  4 Cd 2.96, 4 F 2.96
Sc: 0.2500 0.2500 0.2500  4 Cd 2.96, 4 F 2.96

=====

# 6
Computed, not measured: an optimized crystal structure of PrY4S5 at the PBE level of DFT.

DOS(E_F): 0.4796 states/eV/atom
Formation energy (no corrections): -45.90 kcal/mol of atoms
Final energy: -7.118 eV per atom

Cell: 3.9478 5.6009 10.4933 Å, 105.48 100.84 90.00°
With the nearest neighbours (Å) after each atom.
Sites, in units of the cell vectors:
S: 0.1989 0.6989 0.3978  6 Y 2.78-2.80
S: 0.8011 0.3011 0.6022  6 Y 2.78-2.80
Y: 0.7977 0.7977 0.5954  6 S 2.75-2.80
S: 0.3940 0.8940 0.7881  4 Y 2.75-2.80, 2 Pr 2.88
S: 0.6060 0.1060 0.2119  4 Y 2.75-2.80, 2 Pr 2.88
Y: 0.5994 0.5994 0.1987  6 S 2.79-2.80
Y: 0.4006 0.4006 0.8013  6 S 2.79-2.80
S: 0.0000 0.5000 0.0000  4 Y 2.79, 2 Pr 2.80
Pr: 0.0000 0.0000 0.0000  6 S 2.80-2.88
Y: 0.2023 0.2023 0.4046  6 S 2.75-2.80